## SrHoCu (GGA-PBE)

Data for a geometry-optimized SrHoCu structure.

Unit cell a=3.646 b=3.646 c=7.059 alpha=104.97 beta=104.97 gamma=90.00
Fractional positions:
Cu: 0.688 0.688 0.375
Sr: 0.023 0.023 0.046
Ho: 0.290 0.290 0.579

Output
Calculated formation energy   -27 meV per atom
Energy   -3.479 eV per atom
Distance to the lowest polymorph of the same formula   0.00 kJ/mol of atoms

=====

## PrNd5YTm2 (GGA-PBE)

Data for a geometry-optimized PrNd5YTm2 structure.

Unit cell a=5.668 b=10.631 c=10.788 alpha=90.00 beta=90.00 gamma=105.46
Fractional positions:
Nd: 0.480 0.959 0.743
Nd: 0.609 0.217 0.526
Nd: 0.015 0.031 0.022
Tm: 0.116 0.232 0.315
Pr: 0.202 0.405 0.010
Pr: 0.798 0.595 0.510
Nd: 0.281 0.561 0.308
Nd: 0.704 0.408 0.204
Tm: 0.884 0.768 0.815
Nd: 0.296 0.592 0.704
Nd: 0.719 0.439 0.808
Nd: 0.520 0.041 0.243
Y: 0.590 0.180 0.958
Tm: 0.110 0.220 0.739
Y: 0.410 0.820 0.458
Nd: 0.985 0.969 0.522
Nd: 0.391 0.783 0.026
Tm: 0.890 0.780 0.239

Output
Calculated formation energy   151 meV per atom
Energy   -4.741 eV per atom

=====

## ScIn2Fe (GGA-PBE)

Data for a geometry-optimized ScIn2Fe structure.

Unit cell a=4.254 b=4.256 c=4.351 alpha=90.00 beta=90.00 gamma=90.00
Last column: magnetic moment on the atom in μB.
Fractional positions:
Fe: 0.000 0.500 0.500  2.66
Sc: 0.500 0.000 0.500  -0.15
In: 0.000 0.000 0.000  -0.02
In: 0.500 0.500 0.000  -0.02

Output
Calculated formation energy   -68 meV per atom
Energy   -5.136 eV per atom